Run A
LiZnRe | PBE | relaxed

Geometry as CIF:
```
data_LiZnRe
_chemical_formula_sum 'Li4 Zn4 Re4'
_symmetry_space_group_name_H-M 'F -4 3 m'
_symmetry_Int_Tables_number 216
_symmetry_space_group_name_Hall 'F -4 2 3'
_cell_length_a 5.9803
_cell_length_b 5.9803
_cell_length_c 5.9803
_cell_angle_alpha 90.00
_cell_angle_beta 90.00
_cell_angle_gamma 90.00
loop_
_atom_site_label
_atom_site_fract_x
_atom_site_fract_y
_atom_site_fract_z
Li1 0.0000 0.0000 0.0000
Zn1 0.0000 0.0000 0.5000
Re1 0.2500 0.2500 0.2500
```

Density of states at the Fermi level in states/eV/cell: 4.9
Total moment in Bohr magnetons per cell: 8.7



Run B
LiZnRe | PBE | relaxed

Geometry as CIF:
```
data_LiZnRe
_chemical_formula_sum 'Li2 Zn2 Re2'
_symmetry_space_group_name_H-M 'P -1'
_symmetry_Int_Tables_number 2
_cell_length_a 2.6244
_cell_length_b 4.9001
_cell_length_c 6.9160
_cell_angle_alpha 81.48
_cell_angle_beta 85.69
_cell_angle_gamma 85.31
loop_
_symmetry_equiv_pos_as_xyz
'x,y,z'
'-x,-y,-z'
loop_
_atom_site_label
_atom_site_fract_x
_atom_site_fract_y
_atom_site_fract_z
Li1 0.2027 0.2682 0.4894
Zn1 0.0010 0.9225 0.8236
Re1 0.4469 0.4100 0.8464
```

Density of states at the Fermi level in states/eV/cell: 3.1
Total moment in Bohr magnetons per cell: 0.0



Taking the most stable structure as the zero point, the relative energies in meV/atom are run A 1082; run B 0.



Run A
LiZnRe | PBE | relaxed

Geometry as CIF:
```
data_LiZnRe
_chemical_formula_sum 'Li1 Zn1 Re1'
_symmetry_space_group_name_H-M 'P 3 m 1'
_symmetry_Int_Tables_number 156
_cell_length_a 2.6880
_cell_length_b 2.6880
_cell_length_c 6.9750
_cell_angle_alpha 90.00
_cell_angle_beta 90.00
_cell_angle_gamma 120.00
loop_
_symmetry_equiv_pos_as_xyz
'x,y,z'
'-y,x-y,z'
'-x+y,-x,z'
'-y,-x,z'
'-x+y,y,z'
'x,x-y,z'
loop_
_atom_site_label
_atom_site_fract_x
_atom_site_fract_y
_atom_site_fract_z
Li1 0.0000 0.0000 0.0000
Zn1 0.3333 0.6667 0.6697
Re1 0.6667 0.3333 0.3329
```

Density of states at the Fermi level in states/eV/cell: 1.2
Total moment in Bohr magnetons per cell: 0.0



Run B
LiZnRe | PBE | relaxed

Geometry as CIF:
```
data_LiZnRe
_chemical_formula_sum 'Li4 Zn4 Re4'
_symmetry_space_group_name_H-M 'F m m 2'
_symmetry_Int_Tables_number 42
_symmetry_space_group_name_Hall 'F 2 -2'
_cell_length_a 2.9774
_cell_length_b 4.3161
_cell_length_c 13.6001
_cell_angle_alpha 90.00
_cell_angle_beta 90.00
_cell_angle_gamma 90.00
loop_
_atom_site_label
_atom_site_fract_x
_atom_site_fract_y
_atom_site_fract_z
Li1 0.0000 0.0000 0.0000
Zn1 0.0000 0.0000 0.3329
Re1 0.0000 0.0000 0.6664
```

Density of states at the Fermi level in states/eV/cell: 3.7
Total moment in Bohr magnetons per cell: 0.0



Taking the most stable structure as the zero point, the relative energies in meV/atom are run A 0; run B 10.



Run A
LiZnRe | PBE | relaxed

Geometry as CIF:
```
data_LiZnRe
_chemical_formula_sum 'Li2 Zn2 Re2'
_symmetry_space_group_name_H-M 'I 4 m m'
_symmetry_Int_Tables_number 107
_symmetry_space_group_name_Hall 'I 4 -2'
_cell_length_a 2.5884
_cell_length_b 2.5884
_cell_length_c 12.9593
_cell_angle_alpha 90.00
_cell_angle_beta 90.00
_cell_angle_gamma 90.00
loop_
_atom_site_label
_atom_site_fract_x
_atom_site_fract_y
_atom_site_fract_z
Li1 0.0000 0.0000 0.0000
Zn1 0.0000 0.0000 0.6656
Re1 0.0000 0.0000 0.3315
```

Density of states at the Fermi level in states/eV/cell: 3.1
Total moment in Bohr magnetons per cell: 0.0



Run B
LiZnRe | PBE | relaxed

Geometry as CIF:
```
data_LiZnRe
_chemical_formula_sum 'Li4 Zn4 Re4'
_symmetry_space_group_name_H-M 'F -4 3 m'
_symmetry_Int_Tables_number 216
_symmetry_space_group_name_Hall 'F -4 2 3'
_cell_length_a 5.8465
_cell_length_b 5.8465
_cell_length_c 5.8465
_cell_angle_alpha 90.00
_cell_angle_beta 90.00
_cell_angle_gamma 90.00
loop_
_atom_site_label
_atom_site_fract_x
_atom_site_fract_y
_atom_site_fract_z
Li1 0.0000 0.0000 0.0000
Zn1 0.2500 0.2500 0.2500
Re1 0.0000 0.0000 0.5000
```

Density of states at the Fermi level in states/eV/cell: 1.6
Total moment in Bohr magnetons per cell: 8.1



Taking the most stable structure as the zero point, the relative energies in meV/atom are run A 0; run B 855.



Run A
LiZr2ZnRe | PBE | relaxed

Geometry as CIF:
```
data_LiZr2ZnRe
_chemical_formula_sum 'Li1 Zr2 Zn1 Re1'
_symmetry_space_group_name_H-M 'P 4/m m m'
_symmetry_Int_Tables_number 123
_symmetry_space_group_name_Hall '-P 4 2'
_cell_length_a 4.9890
_cell_length_b 4.9890
_cell_length_c 4.8318
_cell_angle_alpha 90.00
_cell_angle_beta 90.00
_cell_angle_gamma 90.00
loop_
_atom_site_label
_atom_site_fract_x
_atom_site_fract_y
_atom_site_fract_z
Li1 0.0000 0.0000 0.0000
Zr1 0.0000 0.5000 0.5000
Zn1 0.5000 0.5000 0.0000
Re1 0.0000 0.0000 0.5000
```

Density of states at the Fermi level in states/eV/cell: 4.3
Total moment in Bohr magnetons per cell: 0.0



Run B
LiZr2ZnRe | PBE | relaxed

Geometry as CIF:
```
data_LiZr2ZnRe
_chemical_formula_sum 'Li1 Zr2 Zn1 Re1'
_symmetry_space_group_name_H-M 'P 4/m m m'
_symmetry_Int_Tables_number 123
_symmetry_space_group_name_Hall '-P 4 2'
_cell_length_a 4.6939
_cell_length_b 4.6939
_cell_length_c 4.1184
_cell_angle_alpha 90.00
_cell_angle_beta 90.00
_cell_angle_gamma 90.00
loop_
_atom_site_label
_atom_site_fract_x
_atom_site_fract_y
_atom_site_fract_z
Li1 0.0000 0.0000 0.0000
Zr1 0.0000 0.5000 0.0000
Zn1 0.5000 0.5000 0.5000
Re1 0.0000 0.0000 0.5000
```

Density of states at the Fermi level in states/eV/cell: 3.1
Total moment in Bohr magnetons per cell: 0.0



Taking the most stable structure as the zero point, the relative energies in meV/atom are run A 0; run B 100.